Density functional theory data (GGA-PBE) for an optimized crystal structure of PrY15Tm4.

Lattice parameters (Å, degrees): 5.035 5.035 25.205 90.00 90.00 90.00
Space group P4/mmm (No. 123)
Asymmetric unit:
Pr (0.000, 0.000, 0.000) x1
Y (0.000, 0.500, 0.102) x4
Y (0.000, 0.500, 0.301) x4
Y (0.000, 0.500, 0.500) x2
Y (0.500, 0.500, 0.000) x1
Y (0.500, 0.500, 0.202) x2
Y (0.500, 0.500, 0.401) x2
Tm (0.000, 0.000, 0.202) x2
Tm (0.000, 0.000, 0.401) x2

Values from the calculation:
Total energy (eV per atom): -5.955
Crystal system: tetragonal
Formation energy from the elements (eV/atom): 0.0266
Calculated density (g/cm3): 5.59
M_tot (μB/cell): 0.00
Density of states at the Fermi level (states/eV per atom): 1.461

=====

Density functional theory data (GGA-PBE) for an optimized crystal structure of PtSeBr.

Lattice parameters (Å, degrees): 3.569 8.227 14.347 90.00 90.00 90.00
Space group Fmm2 (No. 42)
Asymmetric unit:
Pt (0.000, 0.000, 0.000) x4
Se (0.000, 0.000, 0.610) x4
Br (0.000, 0.000, 0.376) x4

Values from the calculation:
Total energy (eV per atom): -3.832
Crystal system: orthorhombic
Calculated density (g/cm3): 5.58
M_tot (μB/cell): 3.37
Density of states at the Fermi level (states/eV per atom): 0.647

=====

Density functional theory data (GGA-PBE) for an optimized crystal structure of HgRuPt2O.

Lattice parameters (Å, degrees): 4.072 4.072 5.030 90.00 90.00 90.00
Space group P4/mmm (No. 123)
Asymmetric unit:
Hg (0.000, 0.000, 0.000) x1
Ru (0.500, 0.500, 0.000) x1
Pt (0.000, 0.500, 0.500) x2
O (0.000, 0.000, 0.500) x1

Values from the calculation:
Total energy (eV per atom): -4.590
Crystal system: tetragonal
Calculated density (g/cm3): 14.10
M_tot (μB/cell): 2.19
Density of states at the Fermi level (states/eV per atom): 0.980

=====

Density functional theory data (GGA-PBE) for an optimized crystal structure of Ca3Pm4SmSe8.

Lattice parameters (Å, degrees): 8.3504 8.3504 20.7033 90.00 90.00 120.00
Space group R-3m (No. 166, hexagonal axes)
Asymmetric unit:
Ca (0.0000, 0.5000, 0.0000) x9
Pm (0.0000, 0.0000, 0.5000) x3
Pm (0.0000, 0.5000, 0.5000) x9
Sm (0.0000, 0.0000, 0.0000) x3
Se (0.0000, 0.0000, 0.2514) x6
Se (0.0018, 0.5009, 0.2516) x18

Values from the calculation:
Total energy (eV per atom): -5.484
Crystal system: trigonal
Calculated density (g/cm3): 5.91
M_tot (μB/cell): 0.00
Density of states at the Fermi level (states/eV per atom): 0.455

=====

Density functional theory data (GGA-PBE) for an optimized crystal structure of TbHoPd2.

Lattice parameters (Å, degrees): 7.027 7.027 7.027 90.00 90.00 90.00
Space group Fm-3m (No. 225)
Asymmetric unit:
Tb (0.000, 0.000, 0.000) x4
Ho (0.000, 0.000, 0.500) x4
Pd (0.250, 0.250, 0.250) x8

Values from the calculation:
Total energy (eV per atom): -5.784
ΔE to the lowest computed polymorph (eV/f.u.): 0.13
Crystal system: cubic
Formation energy from the elements (eV/atom): -0.8851
Calculated density (g/cm3): 10.27
M_tot (μB/cell): 0.00
Density of states at the Fermi level (states/eV per atom): 0.826

=====

Density functional theory data (GGA-PBE) for an optimized crystal structure of Al2RhO4.

Lattice parameters (Å, degrees): 11.178 2.856 4.928 90.00 111.10 90.00
Space group C2/m (No. 12)
Asymmetric unit:
Al (0.231, 0.000, 0.236) x4
Rh (0.000, 0.500, 0.500) x2
O (0.151, 0.500, 0.348) x4
O (0.160, 0.000, 0.828) x4

Values from the calculation:
Total energy (eV per atom): -6.997
Crystal system: monoclinic
Calculated density (g/cm3): 5.00
M_tot (μB/cell): 2.09
Density of states at the Fermi level (states/eV per atom): 0.091

=====

Density functional theory data (GGA-PBE) for an optimized crystal structure of Tb2RuSe.

Lattice parameters (Å, degrees): 3.473 3.473 7.234 90.00 90.00 90.00
Space group P4/mmm (No. 123)
Asymmetric unit:
Tb (0.000, 0.000, 0.234) x2
Ru (0.500, 0.500, 0.000) x1
Se (0.500, 0.500, 0.500) x1

Values from the calculation:
Total energy (eV per atom): -6.455
ΔE to the lowest computed polymorph (eV/f.u.): 0.00
Crystal system: tetragonal
Calculated density (g/cm3): 9.48
M_tot (μB/cell): 0.00
Density of states at the Fermi level (states/eV per atom): 0.241

=====

Density functional theory data (GGA-PBE) for an optimized crystal structure of Zn3Cu12Ni.

Lattice parameters (Å, degrees): 3.664 3.664 14.551 90.00 90.00 90.00
Space group P4/mmm (No. 123)
Asymmetric unit:
Zn (0.000, 0.000, 0.000) x1
Zn (0.000, 0.000, 0.255) x2
Cu (0.000, 0.500, 0.127) x4
Cu (0.000, 0.500, 0.380) x4
Cu (0.500, 0.500, 0.000) x1
Cu (0.500, 0.500, 0.254) x2
Cu (0.500, 0.500, 0.500) x1
Ni (0.000, 0.000, 0.500) x1

Values from the calculation:
Total energy (eV per atom): -3.722
Crystal system: tetragonal
Formation energy from the elements (eV/atom): -0.0493
Calculated density (g/cm3): 8.65
M_tot (μB/cell): 0.00
Density of states at the Fermi level (states/eV per atom): 0.276

=====

Density functional theory data (GGA-PBE) for an optimized crystal structure of ZrIrW2.

Lattice parameters (Å, degrees): 2.850 3.901 6.193 90.00 90.00 90.00
Space group Pmmm (No. 47)
Asymmetric unit:
Zr (0.000, 0.000, 0.000) x1
Ir (0.000, 0.000, 0.500) x1
W (0.500, 0.500, 0.278) x2

Values from the calculation:
Total energy (eV per atom): -10.656
ΔE to the lowest computed polymorph (eV/f.u.): 1.21
Crystal system: orthorhombic
Formation energy from the elements (eV/atom): 0.1730
Calculated density (g/cm3): 15.70
M_tot (μB/cell): 0.00
Density of states at the Fermi level (states/eV per atom): 1.318

=====

Density functional theory data (GGA-PBE) for an optimized crystal structure of Rb3YEr3Se8.

Lattice parameters (Å, degrees): 8.2771 8.2771 24.5590 90.00 90.00 120.00
Space group R-3m (No. 166, hexagonal axes)
Asymmetric unit:
Rb (0.0000, 0.5000, 0.0000) x9
Y (0.0000, 0.0000, 0.5000) x3
Er (0.0000, 0.5000, 0.5000) x9
Se (0.0000, 0.0000, 0.2313) x6
Se (0.0036, 0.5018, 0.7689) x18

Values from the calculation:
Total energy (eV per atom): -5.064
Crystal system: trigonal
Calculated density (g/cm3): 5.06
M_tot (μB/cell): 0.00
Density of states at the Fermi level (states/eV per atom): 0.583

=====

Density functional theory data (GGA-PBE) for an optimized crystal structure of ZrUPd.

Lattice parameters (Å, degrees): 3.477 3.477 21.157 90.00 90.00 90.00
Space group I4/mmm (No. 139)
Asymmetric unit:
Zr (0.000, 0.000, 0.121) x4
U (0.000, 0.000, 0.275) x4
Pd (0.000, 0.000, 0.438) x4

Values from the calculation:
Total energy (eV per atom): -8.510
Crystal system: tetragonal
Formation energy from the elements (eV/atom): -0.1673
Calculated density (g/cm3): 11.31
M_tot (μB/cell): 0.00
Density of states at the Fermi level (states/eV per atom): 1.417

=====

Density functional theory data (GGA-PBE) for an optimized crystal structure of Ca2GaBiO5.

Lattice parameters (Å, degrees): 3.286 16.700 9.351 90.00 90.00 90.00
Space group Cmc2_1 (No. 36)
Asymmetric unit:
Ca (0.000, 0.091, 0.000) x4
Ca (0.000, 0.104, 0.623) x4
Ga (0.000, 0.447, 0.780) x4
Bi (0.000, 0.228, 0.333) x4
O (0.000, 0.040, 0.376) x4
O (0.000, 0.305, 0.997) x4
O (0.000, 0.346, 0.682) x4
O (0.000, 0.364, 0.331) x4
O (0.000, 0.496, 0.111) x4

Values from the calculation:
Total energy (eV per atom): -6.080
Crystal system: orthorhombic
Calculated density (g/cm3): 5.68
M_tot (μB/cell): 0.00
Density of states at the Fermi level (states/eV per atom): 0.000

=====

Density functional theory data (GGA-PBE) for an optimized crystal structure of Dy4SiS3.

Lattice parameters (Å, degrees): 5.604 5.604 5.604 90.00 90.00 90.00
Space group Pm-3m (No. 221)
Asymmetric unit:
Dy (0.000, 0.000, 0.000) x1
Dy (0.000, 0.500, 0.500) x3
Si (0.500, 0.500, 0.500) x1
S (0.000, 0.000, 0.500) x3

Values from the calculation:
Total energy (eV per atom): -6.272
Crystal system: cubic
Calculated density (g/cm3): 7.30
M_tot (μB/cell): 0.00
Density of states at the Fermi level (states/eV per atom): 0.406

=====

Density functional theory data (GGA-PBE) for an optimized crystal structure of Pm2Ni3B.

Lattice parameters (Å, degrees): 11.019 7.887 4.769 90.00 90.89 90.00
Space group C2/c (No. 15)
Asymmetric unit:
Pm (0.154, 0.175, 0.247) x8
Ni (0.000, 0.105, 0.750) x4
Ni (0.111, 0.498, 0.504) x8
B (0.000, 0.357, 0.750) x4

Values from the calculation:
Total energy (eV per atom): -5.819
Crystal system: monoclinic
Formation energy from the elements (eV/atom): -0.2315
Calculated density (g/cm3): 7.64
M_tot (μB/cell): 0.00
Density of states at the Fermi level (states/eV per atom): 0.555

=====

Density functional theory data (GGA-PBE) for an optimized crystal structure of ZnRe2BH.

Lattice parameters (Å, degrees): 4.024 4.024 3.278 90.00 90.00 90.00
Space group P4/mmm (No. 123)
Asymmetric unit:
Zn (0.000, 0.000, 0.000) x1
Re (0.000, 0.500, 0.500) x2
B (0.500, 0.500, 0.000) x1
H (0.000, 0.000, 0.500) x1

Values from the calculation:
Total energy (eV per atom): -6.370
Crystal system: tetragonal
Calculated density (g/cm3): 14.07
M_tot (μB/cell): 0.00
Density of states at the Fermi level (states/eV per atom): 0.703

=====

Density functional theory data (GGA-PBE) for an optimized crystal structure of BaNaIn2Pd.

Lattice parameters (Å, degrees): 5.349 5.349 5.882 90.00 90.00 90.00
Space group P4/mmm (No. 123)
Asymmetric unit:
Ba (0.000, 0.000, 0.000) x1
Na (0.500, 0.500, 0.000) x1
In (0.000, 0.500, 0.500) x2
Pd (0.000, 0.000, 0.500) x1

Values from the calculation:
Total energy (eV per atom): -3.037
ΔE to the lowest computed polymorph (eV/f.u.): 0.37
Crystal system: tetragonal
Formation energy from the elements (eV/atom): -0.2544
Calculated density (g/cm3): 4.90
M_tot (μB/cell): 0.00
Density of states at the Fermi level (states/eV per atom): 0.754

=====

Density functional theory data (GGA-PBE) for an optimized crystal structure of NaSm2NpS4.

Lattice parameters (Å, degrees): 6.920 3.992 6.939 90.00 109.54 90.00
Space group P2/m (No. 10)
Asymmetric unit:
Na (0.000, 0.000, 0.000) x1
Sm (0.500, 0.000, 0.500) x1
Sm (0.500, 0.500, 0.000) x1
Np (0.000, 0.500, 0.500) x1
S (0.245, 0.000, 0.745) x2
S (0.251, 0.500, 0.253) x2

Values from the calculation:
Total energy (eV per atom): -6.745
Crystal system: monoclinic
Calculated density (g/cm3): 6.33
M_tot (μB/cell): 4.41
Density of states at the Fermi level (states/eV per atom): 1.561

=====

Density functional theory data (GGA-PBE) for an optimized crystal structure of CrAg2Ir.

Lattice parameters (Å, degrees): 9.072 2.878 5.046 90.00 101.06 90.00
Space group Cm (No. 8)
Asymmetric unit:
Cr (0.000, 0.000, 0.000) x2
Ag (0.012, 0.500, 0.530) x2
Ag (0.256, 0.500, 0.303) x2
Ir (0.268, 0.000, 0.827) x2

Values from the calculation:
Total energy (eV per atom): -5.683
ΔE to the lowest computed polymorph (eV/f.u.): 0.69
Crystal system: monoclinic
Formation energy from the elements (eV/atom): 0.3636
Calculated density (g/cm3): 11.82
M_tot (μB/cell): 5.99
Density of states at the Fermi level (states/eV per atom): 0.749

=====

Density functional theory data (GGA-PBE) for an optimized crystal structure of SmTm2MnN4.

Lattice parameters (Å, degrees): 3.357 11.311 11.334 90.00 90.00 90.00
Space group Cmcm (No. 63)
Asymmetric unit:
Sm (0.000, 0.111, 0.250) x4
Tm (0.000, 0.368, 0.044) x8
Mn (0.000, 0.155, 0.750) x4
N (0.000, 0.000, 0.000) x4
N (0.000, 0.265, 0.629) x8
N (0.000, 0.424, 0.250) x4

Values from the calculation:
Total energy (eV per atom): -8.272
Crystal system: orthorhombic
Calculated density (g/cm3): 9.25
M_tot (μB/cell): 0.00
Density of states at the Fermi level (states/eV per atom): 0.363

=====

Density functional theory data (GGA-PBE) for an optimized crystal structure of Ce2Ta3O10.

Lattice parameters (Å, degrees): 18.839 5.828 7.731 90.00 112.82 90.00
Space group C2/m (No. 12)
Asymmetric unit:
Ce (0.096, 0.000, 0.219) x4
Ce (0.203, 0.000, 0.852) x4
Ta (0.000, 0.243, 0.500) x4
Ta (0.083, 0.500, 0.984) x4
Ta (0.185, 0.500, 0.538) x4
O (0.000, 0.264, 0.000) x4
O (0.014, 0.000, 0.701) x4
O (0.026, 0.500, 0.702) x4
O (0.112, 0.239, 0.541) x8
O (0.122, 0.500, 0.258) x4
O (0.150, 0.249, 0.997) x8
O (0.228, 0.500, 0.802) x4
O (0.250, 0.250, 0.500) x4

Values from the calculation:
Total energy (eV per atom): -9.408
Crystal system: monoclinic
Calculated density (g/cm3): 8.34
M_tot (μB/cell): 8.79
Density of states at the Fermi level (states/eV per atom): 0.888